Computed, not measured: an optimized crystal structure of CaMoPH2 at the GGA-PBE level of DFT.

Unit cell a=3.908 b=3.908 c=4.662 alpha=90.00 beta=90.00 gamma=90.00
Space group P4/mmm (No. 123)
Symmetry-distinct sites (fractional):
Ca 0.000 0.000 0.000 [1 per cell]
Mo 0.500 0.500 0.500 [1 per cell]
P 0.500 0.500 0.000 [1 per cell]
H 0.000 0.500 0.500 [2 per cell]

- E_tot (eV/atom) = -5.241
- V (Å³/atom) = 14.24

---

Computed, not measured: an optimized crystal structure of Sm6GeS4 at the GGA-PBE level of DFT.

Unit cell a=4.056 b=13.135 c=20.340 alpha=90.00 beta=90.00 gamma=90.00
Space group Cmcm (No. 63)
Symmetry-distinct sites (fractional):
Sm 0.000 0.000 0.000 [4 per cell]
Sm 0.000 0.173 0.250 [4 per cell]
Sm 0.000 0.274 0.584 [8 per cell]
Sm 0.000 0.452 0.164 [8 per cell]
Ge 0.000 0.163 0.750 [4 per cell]
S 0.000 0.091 0.125 [8 per cell]
S 0.000 0.363 0.041 [8 per cell]

- energy relative to the elements, uncorrected (eV/atom) = -1.650
- E_tot (eV/atom) = -6.145
- V (Å³/atom) = 24.62

---

Computed, not measured: an optimized crystal structure of PmTm3Th2Bi6 at the GGA-PBE level of DFT.

Unit cell a=19.641 b=4.522 c=9.008 alpha=90.00 beta=102.97 gamma=90.00
Space group C2/m (No. 12)
Symmetry-distinct sites (fractional):
Pm 0.000 0.000 0.000 [2 per cell]
Tm 0.000 0.000 0.500 [2 per cell]
Tm 0.166 0.500 0.834 [4 per cell]
Th 0.165 0.500 0.331 [4 per cell]
Bi 0.003 0.500 0.744 [4 per cell]
Bi 0.164 0.000 0.590 [4 per cell]
Bi 0.169 0.000 0.076 [4 per cell]

- E_tot (eV/atom) = -5.428
- formation enthalpy at 0 K (kJ/mol of atoms) = -71
- V (Å³/atom) = 32.48

---

Computed, not measured: an optimized crystal structure of CaNd8Sm3 at the GGA-PBE level of DFT.

Unit cell a=18.688 b=3.564 c=13.310 alpha=90.00 beta=104.45 gamma=90.00
Space group Cm (No. 8)
Symmetry-distinct sites (fractional):
Ca 0.000 0.000 0.000 [2 per cell]
Nd 0.148 0.000 0.411 [2 per cell]
Nd 0.160 0.500 0.912 [2 per cell]
Nd 0.162 0.500 0.177 [2 per cell]
Nd 0.312 0.500 0.567 [2 per cell]
Nd 0.316 0.500 0.823 [2 per cell]
Nd 0.322 0.000 0.331 [2 per cell]
Nd 0.482 0.500 0.494 [2 per cell]
Nd 0.489 0.000 0.254 [2 per cell]
Sm 0.138 0.500 0.647 [2 per cell]
Sm 0.327 0.500 0.096 [2 per cell]
Sm 0.470 0.000 0.736 [2 per cell]

- E_tot (eV/atom) = -4.385
- formation enthalpy at 0 K (kJ/mol of atoms) = 13
- V (Å³/atom) = 35.77

---

Computed, not measured: an optimized crystal structure of SrPdCl2 at the GGA-PBE level of DFT.

Unit cell a=4.7494 b=4.7494 c=20.3104 alpha=90.00 beta=90.00 gamma=120.00
Space group R-3m (No. 166, hexagonal axes)
Symmetry-distinct sites (fractional):
Sr 0.0000 0.0000 0.0000 [3 per cell]
Pd 0.0000 0.0000 0.5000 [3 per cell]
Cl 0.0000 0.0000 0.3870 [6 per cell]

- energy relative to the elements, uncorrected (eV/atom) = -1.317
- energy above the most stable polymorph in this dataset (meV per atom) = 0
- E_tot (eV/atom) = -3.959
- V (Å³/atom) = 33.06

---

Computed, not measured: an optimized crystal structure of Ba2Na3TaO6 at the GGA-PBE level of DFT.

Unit cell a=6.263 b=11.429 c=5.906 alpha=90.00 beta=109.22 gamma=90.00
Space group C2/m (No. 12)
Symmetry-distinct sites (fractional):
Ba 0.000 0.170 0.000 [4 per cell]
Na 0.000 0.000 0.500 [2 per cell]
Na 0.000 0.374 0.500 [4 per cell]
Ta 0.000 0.500 0.000 [2 per cell]
O 0.194 0.373 0.217 [8 per cell]
O 0.212 0.500 0.801 [4 per cell]

- energy relative to the elements, uncorrected (eV/atom) = -2.309
- E_tot (eV/atom) = -6.426
- V (Å³/atom) = 16.63